No. 1
Below is an optimized crystal structure of YEr4Tm10, with properties calculated at the PBE-GGA level.

total magnetic moment	0.0	μB/f.u.
energy	-3.89	eV per atom
ΔH_f (0 K)	0.734	eV/atom

Cell lengths 7.5765, 9.2890, 9.2890 Å; angles 80.43, 65.93, 65.93 degrees
Closest atoms and distances in Å follow each position.
Fractional coordinates of all 15 atoms:
Tm1 0.3521 0.6981 0.1005  3 Er 3.28, 1 Y 3.30
Tm2 0.2500 0.5000 0.5000  4 Er 3.28
Tm3 0.0502 0.1005 0.3019  3 Er 3.28, 1 Y 3.30
Tm4 0.8493 0.6981 0.1005  3 Er 3.28, 1 Y 3.30
Tm5 0.7500 0.5000 0.5000  4 Er 3.28
Tm6 0.4526 0.8995 0.6981  3 Er 3.28, 1 Y 3.30
Tm7 0.9498 0.8995 0.6981  3 Er 3.28, 1 Y 3.30
Tm8 0.6479 0.3019 0.8995  3 Er 3.28, 1 Y 3.30
Tm9 0.5474 0.1005 0.3019  3 Er 3.28, 1 Y 3.30
Tm10 0.1507 0.3019 0.8995  3 Er 3.28, 1 Y 3.30
Er1 0.5997 0.2006 0.6000  8 Tm 3.28
Er2 0.8003 0.6000 0.7994  8 Tm 3.28
Er3 0.1997 0.4000 0.2006  8 Tm 3.28
Er4 0.4003 0.7994 0.4000  8 Tm 3.28
Y1 0.0000 0.0000 0.0000  8 Tm 3.30

No. 2
Below is an optimized crystal structure of Y5Er4Tm4, with properties calculated at the PBE-GGA level.

total magnetic moment	0.0	μB/f.u.
energy	-5.24	eV per atom
ΔH_f (0 K)	0.027	eV/atom

Cell lengths 4.9762, 9.3345, 9.3345 Å; angles 85.93, 74.54, 74.54 degrees
Closest atoms and distances in Å follow each position.
Fractional coordinates of all 13 atoms:
Y1 0.5381 0.7677 0.1561  5 Er 3.50-3.54, 3 Tm 3.51, 4 Y 3.54-3.56
Y2 0.3058 0.1561 0.2323  5 Er 3.50-3.54, 3 Tm 3.51, 4 Y 3.54-3.56
Y3 0.4619 0.2323 0.8439  5 Er 3.50-3.54, 3 Tm 3.51, 4 Y 3.54-3.56
Y4 0.0000 0.0000 0.0000  8 Y 3.54, 4 Er 3.55
Y5 0.6942 0.8439 0.7677  5 Er 3.50-3.54, 3 Tm 3.51, 4 Y 3.54-3.56
Tm1 0.9241 0.4612 0.6905  5 Tm 3.50-3.51, 3 Y 3.51, 4 Er 3.52-3.54
Tm2 0.0759 0.5388 0.3095  5 Tm 3.50-3.51, 3 Y 3.51, 4 Er 3.52-3.54
Tm3 0.6147 0.3095 0.4612  5 Tm 3.50-3.51, 3 Y 3.51, 4 Er 3.52-3.54
Tm4 0.3853 0.6905 0.5388  5 Tm 3.50-3.51, 3 Y 3.51, 4 Er 3.52-3.54
Er1 0.8452 0.9228 0.3869  6 Y 3.50-3.55, 2 Er 3.50, 4 Tm 3.52-3.54
Er2 0.7680 0.3869 0.0772  6 Y 3.50-3.55, 2 Er 3.50, 4 Tm 3.52-3.54
Er3 0.2320 0.6131 0.9228  6 Y 3.50-3.55, 2 Er 3.50, 4 Tm 3.52-3.54
Er4 0.1548 0.0772 0.6131  6 Y 3.50-3.55, 2 Er 3.50, 4 Tm 3.52-3.54

No. 3
Below is an optimized crystal structure of Y4ErTm5, with properties calculated at the PBE-GGA level.

total magnetic moment	0.0	μB/f.u.
energy above the lowest structure with this stoichiometry	247	meV per atom
energy	-4.97	eV per atom
ΔH_f (0 K)	0.305	eV/atom

Cell lengths 6.2945, 7.7967, 7.7967 Å; angles 80.62, 66.19, 66.19 degrees
Closest atoms and distances in Å follow each position.
Fractional coordinates of all 10 atoms:
Tm1 0.6810 0.0000 0.0000  1 Er 2.89, 4 Tm 3.21
Tm2 0.1790 0.9149 0.6286  4 Y 3.20-3.49, 1 Tm 3.21, 1 Er 3.21
Tm3 0.8076 0.3714 0.9149  4 Y 3.20-3.49, 1 Tm 3.21, 1 Er 3.21
Tm4 0.7225 0.0851 0.3714  4 Y 3.20-3.49, 1 Tm 3.21, 1 Er 3.21
Tm5 0.0939 0.6286 0.0851  4 Y 3.20-3.49, 1 Tm 3.21, 1 Er 3.21
Y1 0.1104 0.2957 0.3857  4 Tm 3.20-3.49, 1 Y 3.34
Y2 0.4061 0.3857 0.7043  4 Tm 3.20-3.49, 1 Y 3.34
Y3 0.4962 0.6143 0.2957  4 Tm 3.20-3.49, 1 Y 3.34
Y4 0.7918 0.7043 0.6143  4 Tm 3.20-3.49, 1 Y 3.34
Er1 0.2217 0.0000 0.0000  5 Tm 2.89-3.21

No. 4
Below is an optimized crystal structure of YEr2Tm8, with properties calculated at the PBE-GGA level.

total magnetic moment	0.0	μB/f.u.
energy above the lowest structure with this stoichiometry	31	meV per atom
energy	-4.51	eV per atom
ΔH_f (0 K)	0.155	eV/atom

Cell lengths 5.8373, 9.0586, 9.4800 Å; angles 61.46, 72.73, 51.58 degrees
Closest atoms and distances in Å follow each position.
Fractional coordinates of all 11 atoms:
Tm1 0.7306 0.5299 0.0000  2 Tm 2.84-3.06
Tm2 0.5000 0.2021 0.5958  1 Y 3.37, 6 Tm 3.43-3.57, 4 Er 3.44-3.56
Tm3 0.7857 0.0977 0.2564  6 Tm 3.20-3.57, 2 Er 3.44-3.55
Tm4 0.7857 0.3542 0.7436  6 Tm 3.20-3.57, 2 Er 3.44-3.55
Tm5 0.5000 0.7979 0.4042  1 Y 3.37, 6 Tm 3.43-3.57, 4 Er 3.44-3.56
Tm6 0.2694 0.4701 0.0000  2 Tm 2.84-3.06
Tm7 0.2143 0.6458 0.2564  6 Tm 3.20-3.57, 2 Er 3.44-3.55
Tm8 0.2143 0.9023 0.7436  6 Tm 3.20-3.57, 2 Er 3.44-3.55
Y1 0.5000 0.0000 0.0000  4 Tm 3.37-3.58
Er1 0.0000 0.3110 0.3780  12 Tm 3.44-3.75
Er2 0.0000 0.6890 0.6220  12 Tm 3.44-3.75

No. 5
Below is an optimized crystal structure of YEr2Tm5, with properties calculated at the PBE-GGA level.

total magnetic moment	0.0	μB/f.u.
energy above the lowest structure with this stoichiometry	108	meV per atom
energy	-4.61	eV per atom
ΔH_f (0 K)	0.132	eV/atom

Cell lengths 11.3386, 9.4135, 10.2941 Å; angles 63.10, 146.20, 125.39 degrees
Closest atoms and distances in Å follow each position.
Fractional coordinates of all 16 atoms:
Y1 0.7657 0.5527 0.7795  4 Tm 3.22-3.44, 2 Y 3.32-3.43, 3 Er 3.54-3.57
Y2 0.2343 0.4473 0.2205  4 Tm 3.22-3.44, 2 Y 3.32-3.43, 3 Er 3.54-3.57
Er1 0.0718 0.3709 0.7692  7 Tm 3.37-3.67, 1 Y 3.57, 2 Er 3.60-3.63
Er2 0.9282 0.6291 0.2308  7 Tm 3.37-3.67, 1 Y 3.57, 2 Er 3.60-3.63
Er3 0.7117 0.6091 0.3698  7 Tm 3.43-3.78, 2 Y 3.54-3.57, 2 Er 3.60-3.63
Er4 0.2883 0.3909 0.6302  7 Tm 3.43-3.78, 2 Y 3.54-3.57, 2 Er 3.60-3.63
Tm1 0.8993 0.0529 0.9981  4 Tm 2.94-3.21, 1 Y 3.22
Tm2 0.2872 0.8131 0.9605  7 Tm 3.36-3.65, 2 Y 3.36-3.67, 1 Er 3.65
Tm3 0.1439 0.0033 0.4932  6 Tm 3.12-3.44, 1 Er 3.45
Tm4 0.5476 0.2475 0.1653  3 Tm 3.17-3.43, 4 Er 3.37-3.53
Tm5 0.1007 0.9471 0.0019  4 Tm 2.94-3.21, 1 Y 3.22
Tm6 0.5174 0.1930 0.5030  6 Tm 3.21-3.58, 2 Y 3.40-3.44, 1 Er 3.50
Tm7 0.4826 0.8070 0.4970  6 Tm 3.21-3.58, 2 Y 3.40-3.44, 1 Er 3.50
Tm8 0.8561 0.9967 0.5068  6 Tm 3.12-3.44, 1 Er 3.45
Tm9 0.7128 0.1869 0.0395  7 Tm 3.36-3.65, 2 Y 3.36-3.67, 1 Er 3.65
Tm10 0.4524 0.7525 0.8347  3 Tm 3.17-3.43, 4 Er 3.37-3.53

No. 6
Below is an optimized crystal structure of Y2Er5Tm6, with properties calculated at the PBE-GGA level.

total magnetic moment	0.0	μB/f.u.
energy	-4.71	eV per atom
ΔH_f (0 K)	0.101	eV/atom

Cell lengths 3.5291, 11.5317, 19.9060 Å; angles 90.00, 90.00, 90.00 degrees
Closest atoms and distances in Å follow each position.
Fractional coordinates of all 26 atoms:
Y1 0.0000 0.1646 0.7892  4 Tm 3.31-3.65, 6 Er 3.47-3.68, 2 Y 3.53
Y2 0.0000 0.3354 0.2892  4 Tm 3.31-3.65, 6 Er 3.47-3.68, 2 Y 3.53
Y3 0.0000 0.8354 0.2108  4 Tm 3.31-3.65, 6 Er 3.47-3.68, 2 Y 3.53
Y4 0.0000 0.6646 0.7108  4 Tm 3.31-3.65, 6 Er 3.47-3.68, 2 Y 3.53
Er1 0.5000 0.8010 0.0495  6 Tm 3.49-3.53, 3 Er 3.53-3.61, 2 Y 3.68
Er2 0.5000 0.5000 0.0000  6 Tm 3.30-3.31, 4 Er 3.53-3.61
Er3 0.5000 0.5933 0.2744  5 Tm 3.27-3.41, 4 Y 3.47-3.54, 2 Er 3.53
Er4 0.5000 0.9067 0.7744  5 Tm 3.27-3.41, 4 Y 3.47-3.54, 2 Er 3.53
Er5 0.5000 0.4067 0.7256  5 Tm 3.27-3.41, 4 Y 3.47-3.54, 2 Er 3.53
Er6 0.5000 0.3010 0.4505  6 Tm 3.49-3.53, 3 Er 3.53-3.61, 2 Y 3.68
Er7 0.5000 0.6990 0.5495  6 Tm 3.49-3.53, 3 Er 3.53-3.61, 2 Y 3.68
Er8 0.5000 0.1990 0.9505  6 Tm 3.49-3.53, 3 Er 3.53-3.61, 2 Y 3.68
Er9 0.5000 0.0000 0.5000  6 Tm 3.30-3.31, 4 Er 3.53-3.61
Er10 0.5000 0.0933 0.2256  5 Tm 3.27-3.41, 4 Y 3.47-3.54, 2 Er 3.53
Tm1 0.0000 0.0826 0.3680  6 Er 3.30-3.49, 1 Y 3.31, 4 Tm 3.44-3.53
Tm2 0.5000 0.1736 0.6324  2 Er 3.27-3.31, 4 Tm 3.44-3.53, 2 Y 3.59
Tm3 0.0000 0.9415 0.9195  6 Er 3.41-3.53, 5 Tm 3.48-3.71, 1 Y 3.65
Tm4 0.0000 0.9174 0.6320  6 Er 3.30-3.49, 1 Y 3.31, 4 Tm 3.44-3.53
Tm5 0.0000 0.5826 0.1320  6 Er 3.30-3.49, 1 Y 3.31, 4 Tm 3.44-3.53
Tm6 0.0000 0.4174 0.8680  6 Er 3.30-3.49, 1 Y 3.31, 4 Tm 3.44-3.53
Tm7 0.5000 0.8264 0.3676  2 Er 3.27-3.31, 4 Tm 3.44-3.53, 2 Y 3.59
Tm8 0.0000 0.4415 0.5805  6 Er 3.41-3.53, 5 Tm 3.48-3.71, 1 Y 3.65
Tm9 0.5000 0.3264 0.1324  2 Er 3.27-3.31, 4 Tm 3.44-3.53, 2 Y 3.59
Tm10 0.5000 0.6736 0.8676  2 Er 3.27-3.31, 4 Tm 3.44-3.53, 2 Y 3.59
Tm11 0.0000 0.5585 0.4195  6 Er 3.41-3.53, 5 Tm 3.48-3.71, 1 Y 3.65
Tm12 0.0000 0.0585 0.0805  6 Er 3.41-3.53, 5 Tm 3.48-3.71, 1 Y 3.65

No. 7
Below is an optimized crystal structure of YEr6Tm4, with properties calculated at the PBE-GGA level.

total magnetic moment	0.0	μB/f.u.
energy above the lowest structure with this stoichiometry	323	meV per atom
energy	-4.25	eV per atom
ΔH_f (0 K)	0.451	eV/atom

Cell lengths 7.4562, 7.4562, 8.4368 Å; angles 116.22, 116.22, 90.00 degrees
Closest atoms and distances in Å follow each position.
Fractional coordinates of all 11 atoms:
Er1 0.0000 0.5000 0.0000  4 Tm 2.99
Er2 0.0759 0.0759 0.6293  3 Tm 3.20-3.53, 1 Y 3.51
Er3 0.5000 0.0000 0.0000  4 Tm 2.99
Er4 0.5534 0.5534 0.6293  3 Tm 3.20-3.53, 1 Y 3.51
Er5 0.9241 0.4466 0.3707  3 Tm 3.20-3.53, 1 Y 3.51
Er6 0.4466 0.9241 0.3707  3 Tm 3.20-3.53, 1 Y 3.51
Y1 0.5000 0.5000 0.0000  8 Er 3.51-3.73, 4 Tm 3.72
Tm1 0.7586 0.0822 0.8408  3 Er 2.99-3.20, 2 Tm 3.20
Tm2 0.0822 0.7586 0.8408  3 Er 2.99-3.20, 2 Tm 3.20
Tm3 0.2414 0.2414 0.1592  3 Er 2.99-3.20, 2 Tm 3.20
Tm4 0.9178 0.9178 0.1592  3 Er 2.99-3.20, 2 Tm 3.20

No. 8
Below is an optimized crystal structure of Y2Er4Tm5, with properties calculated at the PBE-GGA level.

total magnetic moment	0.0	μB/f.u.
energy above the lowest structure with this stoichiometry	78	meV per atom
energy	-4.76	eV per atom
ΔH_f (0 K)	0.104	eV/atom

Cell lengths 3.4881, 8.4614, 14.0368 Å; angles 122.28, 97.14, 90.00 degrees
Closest atoms and distances in Å follow each position.
Fractional coordinates of all 11 atoms:
Er1 0.4122 0.5149 0.8243  1 Y 3.32, 6 Er 3.45-3.53, 5 Tm 3.47-3.54
Er2 0.0390 0.7353 0.0779  7 Er 3.36-3.53, 4 Tm 3.42-3.52
Er3 0.5878 0.4851 0.1757  1 Y 3.32, 6 Er 3.45-3.53, 5 Tm 3.47-3.54
Er4 0.9610 0.2646 0.9221  7 Er 3.36-3.53, 4 Tm 3.42-3.52
Y1 0.7239 0.6204 0.4477  1 Er 3.32, 6 Tm 3.45-3.54, 4 Y 3.49-3.54
Y2 0.2761 0.3796 0.5523  1 Er 3.32, 6 Tm 3.45-3.54, 4 Y 3.49-3.54
Tm1 0.1848 0.8979 0.3696  3 Y 3.45-3.53, 5 Tm 3.49-3.74, 3 Er 3.52
Tm2 0.8152 0.1021 0.6304  3 Y 3.45-3.53, 5 Tm 3.49-3.74, 3 Er 3.52
Tm3 0.1290 0.2124 0.2579  3 Er 3.42-3.54, 3 Y 3.48-3.54, 5 Tm 3.49-3.74
Tm4 0.5000 0.0000 0.0000  6 Er 3.44-3.47, 6 Tm 3.49-3.50
Tm5 0.8710 0.7876 0.7421  3 Er 3.42-3.54, 3 Y 3.48-3.54, 5 Tm 3.49-3.74

What did the sixth record say?
Below is an optimized crystal structure of Y2Er5Tm6, with properties calculated at the PBE-GGA level.

total magnetic moment	0.0	μB/f.u.
energy	-4.71	eV per atom
ΔH_f (0 K)	0.101	eV/atom

Cell lengths 3.5291, 11.5317, 19.9060 Å; angles 90.00, 90.00, 90.00 degrees
Closest atoms and distances in Å follow each position.
Fractional coordinates of all 26 atoms:
Y1 0.0000 0.1646 0.7892  4 Tm 3.31-3.65, 6 Er 3.47-3.68, 2 Y 3.53
Y2 0.0000 0.3354 0.2892  4 Tm 3.31-3.65, 6 Er 3.47-3.68, 2 Y 3.53
Y3 0.0000 0.8354 0.2108  4 Tm 3.31-3.65, 6 Er 3.47-3.68, 2 Y 3.53
Y4 0.0000 0.6646 0.7108  4 Tm 3.31-3.65, 6 Er 3.47-3.68, 2 Y 3.53
Er1 0.5000 0.8010 0.0495  6 Tm 3.49-3.53, 3 Er 3.53-3.61, 2 Y 3.68
Er2 0.5000 0.5000 0.0000  6 Tm 3.30-3.31, 4 Er 3.53-3.61
Er3 0.5000 0.5933 0.2744  5 Tm 3.27-3.41, 4 Y 3.47-3.54, 2 Er 3.53
Er4 0.5000 0.9067 0.7744  5 Tm 3.27-3.41, 4 Y 3.47-3.54, 2 Er 3.53
Er5 0.5000 0.4067 0.7256  5 Tm 3.27-3.41, 4 Y 3.47-3.54, 2 Er 3.53
Er6 0.5000 0.3010 0.4505  6 Tm 3.49-3.53, 3 Er 3.53-3.61, 2 Y 3.68
Er7 0.5000 0.6990 0.5495  6 Tm 3.49-3.53, 3 Er 3.53-3.61, 2 Y 3.68
Er8 0.5000 0.1990 0.9505  6 Tm 3.49-3.53, 3 Er 3.53-3.61, 2 Y 3.68
Er9 0.5000 0.0000 0.5000  6 Tm 3.30-3.31, 4 Er 3.53-3.61
Er10 0.5000 0.0933 0.2256  5 Tm 3.27-3.41, 4 Y 3.47-3.54, 2 Er 3.53
Tm1 0.0000 0.0826 0.3680  6 Er 3.30-3.49, 1 Y 3.31, 4 Tm 3.44-3.53
Tm2 0.5000 0.1736 0.6324  2 Er 3.27-3.31, 4 Tm 3.44-3.53, 2 Y 3.59
Tm3 0.0000 0.9415 0.9195  6 Er 3.41-3.53, 5 Tm 3.48-3.71, 1 Y 3.65
Tm4 0.0000 0.9174 0.6320  6 Er 3.30-3.49, 1 Y 3.31, 4 Tm 3.44-3.53
Tm5 0.0000 0.5826 0.1320  6 Er 3.30-3.49, 1 Y 3.31, 4 Tm 3.44-3.53
Tm6 0.0000 0.4174 0.8680  6 Er 3.30-3.49, 1 Y 3.31, 4 Tm 3.44-3.53
Tm7 0.5000 0.8264 0.3676  2 Er 3.27-3.31, 4 Tm 3.44-3.53, 2 Y 3.59
Tm8 0.0000 0.4415 0.5805  6 Er 3.41-3.53, 5 Tm 3.48-3.71, 1 Y 3.65
Tm9 0.5000 0.3264 0.1324  2 Er 3.27-3.31, 4 Tm 3.44-3.53, 2 Y 3.59
Tm10 0.5000 0.6736 0.8676  2 Er 3.27-3.31, 4 Tm 3.44-3.53, 2 Y 3.59
Tm11 0.0000 0.5585 0.4195  6 Er 3.41-3.53, 5 Tm 3.48-3.71, 1 Y 3.65
Tm12 0.0000 0.0585 0.0805  6 Er 3.41-3.53, 5 Tm 3.48-3.71, 1 Y 3.65

Copy entry 7 word for word.
Below is an optimized crystal structure of YEr6Tm4, with properties calculated at the PBE-GGA level.

total magnetic moment	0.0	μB/f.u.
energy above the lowest structure with this stoichiometry	323	meV per atom
energy	-4.25	eV per atom
ΔH_f (0 K)	0.451	eV/atom

Cell lengths 7.4562, 7.4562, 8.4368 Å; angles 116.22, 116.22, 90.00 degrees
Closest atoms and distances in Å follow each position.
Fractional coordinates of all 11 atoms:
Er1 0.0000 0.5000 0.0000  4 Tm 2.99
Er2 0.0759 0.0759 0.6293  3 Tm 3.20-3.53, 1 Y 3.51
Er3 0.5000 0.0000 0.0000  4 Tm 2.99
Er4 0.5534 0.5534 0.6293  3 Tm 3.20-3.53, 1 Y 3.51
Er5 0.9241 0.4466 0.3707  3 Tm 3.20-3.53, 1 Y 3.51
Er6 0.4466 0.9241 0.3707  3 Tm 3.20-3.53, 1 Y 3.51
Y1 0.5000 0.5000 0.0000  8 Er 3.51-3.73, 4 Tm 3.72
Tm1 0.7586 0.0822 0.8408  3 Er 2.99-3.20, 2 Tm 3.20
Tm2 0.0822 0.7586 0.8408  3 Er 2.99-3.20, 2 Tm 3.20
Tm3 0.2414 0.2414 0.1592  3 Er 2.99-3.20, 2 Tm 3.20
Tm4 0.9178 0.9178 0.1592  3 Er 2.99-3.20, 2 Tm 3.20